[1]
DFT (PBE) results for crystalline LiCuTe2N at its relaxed geometry.

## Properties
- Density: 5.2 g/cm3
- Symmetry: P4/mmm (123)
- Formation energy without anion corrections: 419 meV/atom
- Distance to the lowest polymorph of the same formula: 0.000 kcal/mol of atoms

Cell: 5.5866 5.5866 3.4712 Å, 90.00 90.00 90.00°
Fractional coordinates of all 5 atoms:
Li 0.0000 0.0000 0.0000
Cu 0.5000 0.5000 0.5000
Te 0.0000 0.5000 0.5000
Te 0.5000 0.0000 0.5000
N 0.5000 0.5000 0.0000


[2]
DFT (PBE) results for crystalline Cr2SiW at its relaxed geometry.

## Properties
- Density: 10.0 g/cm3
- Symmetry: Cmm2 (35)
- Formation energy without anion corrections: 90 meV/atom

Cell: 3.1162 4.3058 7.8533 Å, 90.00 90.00 90.00°
Fractional coordinates of all 8 atoms:
Cr 0.0000 0.0000 0.0000
Cr 0.0000 0.5000 0.2356
Cr 0.5000 0.0000 0.2356
Cr 0.5000 0.5000 0.0000
Si 0.0000 0.0000 0.4681
Si 0.5000 0.5000 0.4681
W 0.0000 0.5000 0.7322
W 0.5000 0.0000 0.7322


It is found that the electronic total energy values, taken in the order of the records, are -0.136, -0.342 Ha/atom.